Computed, not measured: a geometry-optimized ScP structure at the PBE level of DFT.

Values from the calculation:
E_form = -1491 meV/atom

Cell lengths 5.312, 5.312, 5.312 Å; angles 90.00, 90.00, 90.00 degrees
Space group Fm-3m (No. 225)
One atom of each set of equivalent atoms:
1 Sc 0.000 0.000 0.000 (multiplicity 4)
2 P 0.000 0.000 0.500 (multiplicity 4)